Entry 1:
First-principles (GGA-PBE) data for a relaxed structure of SmTh2Ni, as listed in Alexandria via LeMat-Bulk.

Output
Formation enthalpy at 0 K in eV per atom: 0.14

Unit cell a=3.6530 b=3.6530 c=10.5177 alpha=80.00 beta=80.00 gamma=60.00
Closest atoms and distances in Å follow each position.
Fractional coordinates of all 4 atoms:
Ni (0.5000, 0.5000, 0.5000)  6 Th 2.77
Sm (0.0000, 0.0000, 0.0000)  2 Th 3.35, 6 Sm 3.65
Th (0.1084, 0.1084, 0.6749)  3 Ni 2.77
Th (0.8916, 0.8916, 0.3251)  3 Ni 2.77

=====

Entry 2:
First-principles (GGA-PBE) data for a relaxed structure of Tm8SnSb5, as listed in Alexandria via LeMat-Bulk.

Output
E_form (uncorrected) in meV per atom: -878

Unit cell a=7.8764 b=7.8764 c=7.8764 alpha=109.42 beta=109.57 gamma=109.42
Closest atoms and distances in Å follow each position.
Fractional coordinates of all 14 atoms:
Tm (0.1244, 0.7500, 0.0210)  5 Sb 3.05-3.25, 1 Sn 3.05
Tm (0.9790, 0.1034, 0.7290)  5 Sb 3.05-3.25, 1 Sn 3.05
Tm (0.7741, 0.2521, 0.3768)  5 Sb 3.05-3.26, 1 Sn 3.23
Tm (0.6232, 0.3972, 0.8753)  5 Sb 3.05-3.26, 1 Sn 3.23
Tm (0.4781, 0.6028, 0.2259)  5 Sb 3.05-3.26, 1 Sn 3.23
Tm (0.6256, 0.8966, 0.8756)  5 Sb 3.05-3.25, 1 Sn 3.05
Tm (0.2710, 0.2500, 0.3744)  5 Sb 3.05-3.25, 1 Sn 3.05
Tm (0.1247, 0.7479, 0.5219)  5 Sb 3.05-3.26, 1 Sn 3.23
Sn (0.2500, 0.5000, 0.7500)  8 Tm 3.05-3.23
Sb (0.9988, 0.3746, 0.1240)  8 Tm 3.05-3.26
Sb (0.8760, 0.8748, 0.2507)  8 Tm 3.05-3.26
Sb (0.7493, 0.6254, 0.6242)  8 Tm 3.05-3.26
Sb (0.5000, 0.0000, 0.5000)  8 Tm 3.06-3.25
Sb (0.3758, 0.1252, 0.0012)  8 Tm 3.05-3.26

=====

Entry 3:
First-principles (GGA-PBE) data for a relaxed structure of KYNb2, as listed in Alexandria via LeMat-Bulk.

Output
Formation enthalpy at 0 K in eV per atom: 1.43

Unit cell a=4.5841 b=4.5841 c=11.6600 alpha=78.66 beta=78.66 gamma=90.00
Closest atoms and distances in Å follow each position.
Fractional coordinates of all 8 atoms:
Y (0.0000, 0.0000, 0.0000)  4 Nb 3.07, 4 K 3.24
Y (0.7500, 0.2500, 0.5000)  4 Nb 3.07, 4 K 3.24
Nb (0.9937, 0.1250, 0.2500)  2 Nb 2.54
Nb (0.7563, 0.6250, 0.2500)  2 Nb 2.54
Nb (0.3750, 0.0063, 0.7500)  2 Nb 2.54
Nb (0.8750, 0.2437, 0.7500)  2 Nb 2.54
K (0.5000, 0.5000, 0.0000)  4 Y 3.24, 4 Nb 3.49
K (0.2500, 0.7500, 0.5000)  4 Y 3.24, 4 Nb 3.49